Version i
A plane-wave DFT calculation with GGA-PBE was carried out for a relaxed structure of ZrAgW2.

- Space group: Imm2, No. 44

Cell lengths 5.297, 5.297, 5.297 Å; angles 141.25, 127.57, 67.07 degrees
Fractional positions:
Ag 0.757 0.257 0.500
W 0.019 0.019 0.000
W 0.233 0.733 0.500
Zr 0.491 0.491 0.000

---

Version ii
A plane-wave DFT calculation with GGA-PBE was carried out for a relaxed structure of ZrAgW2.

- Space group: Pmmm, No. 47

Cell lengths 2.695, 4.821, 5.608 Å; angles 90.00, 90.00, 90.00 degrees
Fractional positions:
Ag 0.500 0.500 0.750
W 0.000 0.000 0.012
W 0.000 0.000 0.488
Zr 0.500 0.500 0.250

---

Version iii
A plane-wave DFT calculation with GGA-PBE was carried out for a relaxed structure of ZrAgW2.

- Space group: Cmm2, No. 35

Cell lengths 2.830, 2.830, 9.463 Å; angles 90.00, 90.00, 109.68 degrees
Fractional positions:
Ag 0.500 0.500 0.761
W 0.000 0.000 0.012
W 0.500 0.500 0.236
Zr 0.000 0.000 0.491

---

Version iv
A plane-wave DFT calculation with GGA-PBE was carried out for a relaxed structure of ZrAgW2.

- Space group: P2/m, No. 10

Cell lengths 4.961, 2.765, 5.238 Å; angles 83.69, 90.00, 90.00 degrees
Fractional positions:
Ag 0.500 0.750 0.750
W 0.000 0.967 0.011
W 0.000 0.533 0.489
Zr 0.500 0.250 0.250

---

According to the calculations, the structures order from most to least stable as version iii, version iv, version i, version ii.

---

Version i
A plane-wave DFT calculation with GGA-PBE was carried out for a relaxed structure of ZrAgW2.

- Space group: I-42d, No. 122

Cell lengths 7.597, 7.597, 6.011 Å; angles 50.80, 50.80, 90.00 degrees
Fractional positions:
Zr 0.500 0.500 0.000
Zr 0.250 0.750 0.500
Ag 0.000 0.000 0.000
Ag 0.750 0.250 0.500
W 0.641 0.125 0.250
W 0.109 0.625 0.250
W 0.375 0.359 0.750
W 0.875 0.891 0.750

---

Version ii
A plane-wave DFT calculation with GGA-PBE was carried out for a relaxed structure of ZrAgW2.

- Space group: Pm, No. 6

Cell lengths 4.427, 2.792, 6.062 Å; angles 74.23, 90.00, 90.00 degrees
Fractional positions:
Ag 0.500 0.767 0.753
W 0.000 0.058 0.025
W 0.500 0.231 0.227
Zr 0.000 0.445 0.495

---

Version iii
A plane-wave DFT calculation with GGA-PBE was carried out for a relaxed structure of ZrAgW2.

- Space group: P4/mmm, No. 123

Cell lengths 3.460, 3.460, 5.964 Å; angles 90.00, 90.00, 90.00 degrees
Fractional positions:
Ag 0.500 0.500 0.750
W 0.000 0.000 0.984
W 0.000 0.000 0.516
Zr 0.500 0.500 0.250

---

Version iv
A plane-wave DFT calculation with GGA-PBE was carried out for a relaxed structure of ZrAgW2.

- Space group: Cm, No. 8

Cell lengths 5.010, 5.010, 5.426 Å; angles 85.06, 85.06, 31.98 degrees
Fractional positions:
Ag 0.254 0.254 0.256
W 0.995 0.995 0.979
W 0.748 0.748 0.776
Zr 0.504 0.504 0.490

---

According to the calculations, the structures order from most to least stable as version ii, version iv, version iii, version i.

---

Version i
A plane-wave DFT calculation with GGA-PBE was carried out for a relaxed structure of ZrAgW2.

- Space group: P4/mmm, No. 123

Cell lengths 2.766, 2.766, 9.295 Å; angles 90.00, 90.00, 90.00 degrees
Fractional positions:
Ag 0.500 0.500 0.750
W 0.000 0.000 0.990
W 0.000 0.000 0.510
Zr 0.500 0.500 0.250

---

Version ii
A plane-wave DFT calculation with GGA-PBE was carried out for a relaxed structure of ZrAgW2.

- Space group: P4mm, No. 99

Cell lengths 2.761, 2.761, 9.335 Å; angles 90.00, 90.00, 90.00 degrees
Fractional positions:
Ag 0.500 0.500 0.762
W 0.000 0.000 0.000
W 0.500 0.500 0.241
Zr 0.000 0.000 0.496

---

According to the calculations, the structures order from most to least stable as version ii, version i.

---

Version i
A plane-wave DFT calculation with GGA-PBE was carried out for a relaxed structure of ZrAgW.

- Space group: I4mm, No. 107

Cell lengths 7.203, 7.203, 7.203 Å; angles 157.42, 157.42, 32.14 degrees
Fractional positions:
Ag 0.995 0.995 0.000
W 0.336 0.336 0.000
Zr 0.669 0.669 0.000

---

Version ii
A plane-wave DFT calculation with GGA-PBE was carried out for a relaxed structure of ZrAgW.

- Space group: F-43m, No. 216

Cell lengths 4.497, 4.497, 4.497 Å; angles 60.00, 60.00, 60.00 degrees
Fractional positions:
Ag 0.750 0.750 0.750
W 0.000 0.000 0.000
Zr 0.500 0.500 0.500

---

Version iii
A plane-wave DFT calculation with GGA-PBE was carried out for a relaxed structure of ZrAgW.

- Space group: P3m1, No. 156

Cell lengths 2.866, 2.866, 7.783 Å; angles 90.00, 90.00, 120.00 degrees
Fractional positions:
Ag 0.000 0.000 0.008
W 0.667 0.333 0.326
Zr 0.333 0.667 0.666

---

Version iv
A plane-wave DFT calculation with GGA-PBE was carried out for a relaxed structure of ZrAgW.

- Space group: Fmm2, No. 42

Cell lengths 7.422, 7.285, 2.836 Å; angles 81.60, 76.19, 22.21 degrees
Fractional positions:
Ag 0.005 0.005 0.995
W 0.667 0.667 0.333
Zr 0.328 0.328 0.672

---

According to the calculations, the structures order from most to least stable as version iv, version i, version iii, version ii.

---

Version i
A plane-wave DFT calculation with GGA-PBE was carried out for a relaxed structure of ZrAgW.

- Space group: I4mm, No. 107

Cell lengths 5.323, 5.323, 5.323 Å; angles 142.10, 142.10, 54.68 degrees
Fractional positions:
Ag 0.993 0.993 0.000
W 0.333 0.333 0.000
Zr 0.673 0.673 0.000

---

Version ii
A plane-wave DFT calculation with GGA-PBE was carried out for a relaxed structure of ZrAgW.

- Space group: P-6m2, No. 187

Cell lengths 4.938, 4.938, 2.654 Å; angles 90.00, 90.00, 120.00 degrees
Fractional positions:
Ag 0.000 0.000 0.166
W 0.667 0.333 0.167
Zr 0.333 0.667 0.667

---

According to the calculations, the structures order from most to least stable as version ii, version i.

---

Version i
A plane-wave DFT calculation with GGA-PBE was carried out for a relaxed structure of Y2Ag3.

- Space group: Fdd2, No. 43

Cell lengths 5.953, 5.953, 8.188 Å; angles 79.50, 79.50, 119.90 degrees
Fractional positions:
Ag 0.677 0.812 0.761
Ag 0.573 0.438 0.239
Ag 0.188 0.823 0.739
Ag 0.562 0.927 0.261
Ag 0.982 0.982 0.000
Ag 0.732 0.232 0.500
Y 0.610 0.263 0.894
Y 0.158 0.504 0.106
Y 0.254 0.408 0.606
Y 0.013 0.860 0.394

---

Version ii
A plane-wave DFT calculation with GGA-PBE was carried out for a relaxed structure of Y2Ag3.

- Space group: P-3m1, No. 164

Cell lengths 5.020, 5.020, 6.089 Å; angles 90.00, 90.00, 120.00 degrees
Fractional positions:
Y 0.667 0.333 0.202
Y 0.333 0.667 0.798
Ag 0.000 0.000 0.000
Ag 0.667 0.333 0.704
Ag 0.333 0.667 0.296

---

Version iii
A plane-wave DFT calculation with GGA-PBE was carried out for a relaxed structure of Y2Ag3.

- Space group: C2/m, No. 12

Cell lengths 5.447, 5.447, 7.640 Å; angles 55.05, 55.05, 40.21 degrees
Fractional positions:
Y 0.306 0.306 0.771
Y 0.694 0.694 0.229
Ag 0.093 0.093 0.622
Ag 0.500 0.500 0.000
Ag 0.907 0.907 0.378

---

According to the calculations, the structures order from most to least stable as version i, version iii, version ii.